(1)
Entry from Alexandria via LeMat-Bulk: a relaxed NpScTi crystal (PBE).

Output
Energy in eV/cell: -52.64
Space group: I4/mmm, No. 139
Energy of formation from the pure elements in eV/atom: 0.28

abc: 3.2283 3.2283 12.6175
angles: 97.35 97.35 90.00
Last column: nearest neighbours and their distance in Å.
Element x y z (fractional)
Sc: 0.0668 0.0668 0.1336  4 Ti 3.03, 5 Sc 3.23-3.32
Sc: 0.9332 0.9332 0.8664  4 Ti 3.03, 5 Sc 3.23-3.32
Ti: 0.6470 0.6470 0.2939  5 Np 3.02-3.14, 4 Sc 3.03, 4 Ti 3.23
Ti: 0.3530 0.3530 0.7061  5 Np 3.02-3.14, 4 Sc 3.03, 4 Ti 3.23
Np: 0.7735 0.7735 0.5470  4 Np 2.56
Np: 0.2265 0.2265 0.4530  4 Np 2.56

---

(2)
Entry from Alexandria via LeMat-Bulk: a relaxed Pa3SbC crystal (PBE).

Output
Energy in eV/cell: -43.90
Space group: Pm-3m, No. 221

abc: 4.7891 4.7891 4.7891
angles: 90.00 90.00 90.00
Last column: nearest neighbours and their distance in Å.
Element x y z (fractional)
Sb: 0.5000 0.5000 0.5000  12 Pa 3.39
C: 0.0000 0.0000 0.0000  6 Pa 2.39
Pa: 0.0000 0.5000 0.0000  2 C 2.39
Pa: 0.0000 0.0000 0.5000  2 C 2.39
Pa: 0.5000 0.0000 0.0000  2 C 2.39

---

(3)
Entry from Alexandria via LeMat-Bulk: a relaxed Cr2IrAuI crystal (PBE).

Output
Energy in eV/cell: -23.44
Space group: P4/mmm, No. 123

abc: 4.9443 5.0785 4.9443
angles: 90.00 90.00 90.00
Last column: nearest neighbours and their distance in Å.
Element x y z (fractional)
I: 0.0000 0.0000 0.0000  4 Cr 2.47, 2 Au 2.54
Cr: 0.0000 0.0000 0.5000  2 I 2.47
Cr: 0.5000 0.0000 0.0000  2 I 2.47
Ir: 0.5000 0.5000 0.5000  4 Au 3.50, 8 Cr 3.54
Au: 0.0000 0.5000 0.0000  2 I 2.54

---

(4)
Entry from Alexandria via LeMat-Bulk: a relaxed NaSrLiGe crystal (PBE).

Output
Energy in eV/cell: -10.53
Space group: F-43m, No. 216
Energy of formation from the pure elements in eV/atom: -0.25

abc: 5.2135 5.2135 5.2135
angles: 60.00 60.00 60.00
Last column: nearest neighbours and their distance in Å.
Element x y z (fractional)
Sr: 0.0000 0.0000 0.0000  4 Ge 3.19, 4 Na 3.19
Ge: 0.2500 0.2500 0.2500  4 Li 3.19, 4 Sr 3.19
Li: 0.5000 0.5000 0.5000  4 Ge 3.19, 4 Na 3.19
Na: 0.7500 0.7500 0.7500  4 Li 3.19, 4 Sr 3.19

---

(5)
Entry from Alexandria via LeMat-Bulk: a relaxed Y2TmZr crystal (PBE).

Output
Energy in eV/cell: -25.55
Space group: P4/mmm, No. 123
Energy of formation from the pure elements in eV/atom: 0.10

abc: 4.8556 4.8667 4.8667
angles: 90.00 90.00 90.00
Last column: nearest neighbours and their distance in Å.
Element x y z (fractional)
Y: 0.0000 0.0000 0.5000  4 Zr 3.44, 4 Tm 3.44, 4 Y 3.44
Y: 0.0000 0.5000 0.0000  4 Zr 3.44, 4 Tm 3.44, 4 Y 3.44
Tm: 0.5000 0.5000 0.5000  8 Y 3.44, 4 Zr 3.44
Zr: 0.5000 0.0000 0.0000  8 Y 3.44, 4 Tm 3.44

---

(6)
Entry from Alexandria via LeMat-Bulk: a relaxed Ca2Ti2Zn crystal (PBE).

Output
Energy in eV/cell: -35.31
Space group: P4/mbm, No. 127
Energy of formation from the pure elements in eV/atom: 0.68

abc: 9.1475 9.1475 3.3665
angles: 90.00 90.00 90.00
Last column: nearest neighbours and their distance in Å.
Element x y z (fractional)
Zn: 0.0000 0.0000 0.0000  4 Ca 3.30, 2 Zn 3.37
Zn: 0.5000 0.5000 0.0000  4 Ca 3.30, 2 Zn 3.37
Ca: 0.3004 0.8004 0.0000  6 Ti 3.27, 2 Zn 3.30, 2 Ca 3.37
Ca: 0.8004 0.6996 0.0000  6 Ti 3.27, 2 Zn 3.30, 2 Ca 3.37
Ca: 0.6996 0.1996 0.0000  6 Ti 3.27, 2 Zn 3.30, 2 Ca 3.37
Ca: 0.1996 0.3004 0.0000  6 Ti 3.27, 2 Zn 3.30, 2 Ca 3.37
Ti: 0.0841 0.5841 0.5000  1 Ti 2.18
Ti: 0.5841 0.9159 0.5000  1 Ti 2.18
Ti: 0.9159 0.4159 0.5000  1 Ti 2.18
Ti: 0.4159 0.0841 0.5000  1 Ti 2.18

---

(7)
Entry from Alexandria via LeMat-Bulk: a relaxed Pm3Sm2Se8 crystal (PBE).

Output
Energy in eV/cell: -73.64
Space group: C2/m, No. 12

abc: 7.1631 8.4555 8.4358
angles: 120.08 107.17 90.00
Last column: nearest neighbours and their distance in Å.
Element x y z (fractional)
Pm: 0.5000 0.0000 0.0000  6 Se 2.91-2.97
Pm: 0.0000 0.2626 0.0000  6 Se 2.90-2.97
Pm: 0.0000 0.7374 0.0000  6 Se 2.90-2.97
Sm: 0.3414 0.2597 0.5194  6 Se 2.89-2.98
Sm: 0.6586 0.7403 0.4806  6 Se 2.89-2.98
Se: 0.9100 0.6217 0.2434  1 Sm 2.89, 2 Pm 2.90
Se: 0.0900 0.3783 0.7566  1 Sm 2.89, 2 Pm 2.90
Se: 0.9284 0.1191 0.2383  3 Pm 2.97, 1 Sm 2.97
Se: 0.0716 0.8809 0.7617  3 Pm 2.97, 1 Sm 2.97
Se: 0.5843 0.6385 0.7504  2 Pm 2.91-2.92, 2 Sm 2.97-2.98
Se: 0.5843 0.1119 0.7504  2 Pm 2.91-2.92, 2 Sm 2.97-2.98
Se: 0.4157 0.8881 0.2496  2 Pm 2.91-2.92, 2 Sm 2.97-2.98
Se: 0.4157 0.3615 0.2496  2 Pm 2.91-2.92, 2 Sm 2.97-2.98

---

(8)
Entry from Alexandria via LeMat-Bulk: a relaxed InRu crystal (PBE).

Output
Energy in eV/cell: -23.48
Space group: P4/nmm, No. 129
Energy of formation from the pure elements in eV/atom: 0.14

abc: 2.9386 2.9386 8.5036
angles: 90.00 90.00 90.00
Last column: nearest neighbours and their distance in Å.
Element x y z (fractional)
In: 0.0000 0.0000 0.9561  4 Ru 2.90, 4 In 2.94
In: 0.5000 0.5000 0.2939  4 Ru 2.90, 4 In 2.94
Ru: 0.0000 0.0000 0.5320  4 Ru 2.61, 4 In 2.90
Ru: 0.5000 0.5000 0.7180  4 Ru 2.61, 4 In 2.90